Computed, not measured: a geometry-optimized Ac3CuPt3 structure at the PBE-GGA level of DFT.

Structure (POSCAR):
```
Ac3CuPt3
1.0
-2.4225 -3.1645 -1.8515
2.6669 -0.1291 -3.2687
5.3019 -5.2542 7.2582
Pt Ac Cu
3 3 1
Direct
0.5594 0.5594 0.1188
0.1566 0.6566 0.3133
0.8523 0.3523 0.7047
0.3163 0.8163 0.6326
0.0027 0.0027 0.0055
0.6802 0.1802 0.3604
0.4323 0.4323 0.8646
```

- Mass density: 12.0 g cm⁻³
- Energy of formation: -0.95 eV per atom
- Crystal system: orthorhombic
- Calculated total energy: -5.883 eV/atom